First-principles (GGA-PBE) data for a relaxed structure of SrPmNd4S8, as listed in the Alexandria database.

The calculation puts the density at 4.21 Mg/m³. As for the total magnetic moment: 0.00 Bohr magnetons per cell. The electronic total energy comes out at -86.10 eV per formula unit. The value obtained for the uncorrected formation energy is -1.97 eV per atom. Its space group is R3m, No. 160.

a = 8.402 Å, b = 8.402 Å, c = 8.402 Å
α = 60.10°, β = 60.10°, γ = 60.10°
Sites, in units of the cell vectors:
Sr1 0.000 0.000 0.000
Pm1 0.627 0.627 0.627
Nd1 0.120 0.627 0.627
Nd2 0.250 0.250 0.250
Nd3 0.627 0.120 0.627
Nd4 0.627 0.627 0.120
S1 0.383 0.383 0.383
S2 0.384 0.384 0.851
S3 0.384 0.851 0.384
S4 0.412 0.862 0.862
S5 0.851 0.384 0.384
S6 0.862 0.412 0.862
S7 0.862 0.862 0.412
S8 0.863 0.863 0.863